(1)
Density functional theory data (PBE-GGA) for a relaxed structure of ScTiSiTe2.

Raw formation energy (eV/atom): 0.31
Volume (Å³/cell): 132.6
Space-group type: P4/mmm
Final energy (eV per formula unit): -24.38

The structure in CIF format:
```
data_ScTiSiTe2
_chemical_formula_sum 'Sc1 Ti1 Si1 Te2'
_cell_length_a 5.341
_cell_length_b 4.647
_cell_length_c 5.341
_cell_angle_alpha 90.00
_cell_angle_beta 90.00
_cell_angle_gamma 90.00
_symmetry_space_group_name_H-M 'P 1'
_symmetry_Int_Tables_number 1
_symmetry_space_group_name_Hall 'P 1'
loop_
_atom_site_label
_atom_site_type_symbol
_atom_site_fract_x
_atom_site_fract_y
_atom_site_fract_z
Te1 Te 0.500 0.000 0.000
Te2 Te 0.000 0.000 0.500
Ti1 Ti 0.000 0.500 0.000
Sc1 Sc 0.500 0.500 0.500
Si1 Si 0.000 0.000 0.000
```

(2)
Density functional theory data (PBE-GGA) for a relaxed structure of Th2PdPb.

Energy above the most stable polymorph in this dataset (eV per atom): 0.000
Volume (Å³/cell): 107.1
Space-group type: P4/mmm
Final energy (eV per formula unit): -25.60

The structure in CIF format:
```
data_Th2PdPb
_chemical_formula_sum 'Th2 Pd1 Pb1'
_cell_length_a 3.487
_cell_length_b 3.487
_cell_length_c 8.809
_cell_angle_alpha 90.00
_cell_angle_beta 90.00
_cell_angle_gamma 90.00
_symmetry_space_group_name_H-M 'P 1'
_symmetry_Int_Tables_number 1
_symmetry_space_group_name_Hall 'P 1'
loop_
_atom_site_label
_atom_site_type_symbol
_atom_site_fract_x
_atom_site_fract_y
_atom_site_fract_z
Th1 Th 0.000 0.000 0.780
Pd1 Pd 0.500 0.500 0.000
Th2 Th 0.000 0.000 0.220
Pb1 Pb 0.500 0.500 0.500
```

(3)
Density functional theory data (PBE-GGA) for a relaxed structure of NbGe2Mo.

Energy above the most stable polymorph in this dataset (eV per atom): 0.007
Volume (Å³/cell): 70.7
Space-group type: R3m
Final energy (eV per formula unit): -30.20

The structure in CIF format:
```
data_NbGe2Mo
_chemical_formula_sum 'Nb1 Ge2 Mo1'
_cell_length_a 3.626
_cell_length_b 3.626
_cell_length_c 6.554
_cell_angle_alpha 73.94
_cell_angle_beta 73.94
_cell_angle_gamma 60.00
_symmetry_space_group_name_H-M 'P 1'
_symmetry_Int_Tables_number 1
_symmetry_space_group_name_Hall 'P 1'
loop_
_atom_site_label
_atom_site_type_symbol
_atom_site_fract_x
_atom_site_fract_y
_atom_site_fract_z
Ge1 Ge 0.086 0.086 0.741
Nb1 Nb 0.671 0.671 0.987
Ge2 Ge 0.248 0.248 0.257
Mo1 Mo 0.495 0.495 0.516
```

(4)
Density functional theory data (PBE-GGA) for a relaxed structure of Dy4ZnHg.

Energy above the most stable polymorph in this dataset (eV per atom): 0.211
Volume (Å³/cell): 178.7
Space-group type: P4/mmm
Final energy (eV per formula unit): -20.24

The structure in CIF format:
```
data_Dy4ZnHg
_chemical_formula_sum 'Dy4 Zn1 Hg1'
_cell_length_a 4.985
_cell_length_b 4.985
_cell_length_c 7.192
_cell_angle_alpha 89.99
_cell_angle_beta 90.00
_cell_angle_gamma 90.00
_symmetry_space_group_name_H-M 'P 1'
_symmetry_Int_Tables_number 1
_symmetry_space_group_name_Hall 'P 1'
loop_
_atom_site_label
_atom_site_type_symbol
_atom_site_fract_x
_atom_site_fract_y
_atom_site_fract_z
Zn1 Zn 0.001 0.997 0.498
Hg1 Hg 0.501 0.497 0.998
Dy1 Dy 0.501 0.998 0.740
Dy2 Dy 0.001 0.497 0.257
Dy3 Dy 0.501 0.997 0.257
Dy4 Dy 0.001 0.497 0.740
```

(5)
Density functional theory data (PBE-GGA) for a relaxed structure of BeP2Ru.

Volume (Å³/cell): 50.1
Space-group type: Pmmm
Final energy (eV per formula unit): -22.99

The structure in CIF format:
```
data_BeP2Ru
_chemical_formula_sum 'Be1 P2 Ru1'
_cell_length_a 3.733
_cell_length_b 4.161
_cell_length_c 3.229
_cell_angle_alpha 90.00
_cell_angle_beta 90.00
_cell_angle_gamma 90.00
_symmetry_space_group_name_H-M 'P 1'
_symmetry_Int_Tables_number 1
_symmetry_space_group_name_Hall 'P 1'
loop_
_atom_site_label
_atom_site_type_symbol
_atom_site_fract_x
_atom_site_fract_y
_atom_site_fract_z
P1 P 0.500 0.500 0.000
P2 P 0.000 0.000 0.000
Be1 Be 0.000 0.500 0.500
Ru1 Ru 0.500 0.000 0.500
```

(6)
Density functional theory data (PBE-GGA) for a relaxed structure of RhSN.

Raw formation energy (eV/atom): -0.15
Energy above the most stable polymorph in this dataset (eV per atom): 0.000
Volume (Å³/cell): 127.9
Space-group type: P1
Final energy (eV per formula unit): -20.27

The structure in CIF format:
```
data_RhSN
_chemical_formula_sum 'Rh2 S2 N2'
_cell_length_a 3.341
_cell_length_b 3.342
_cell_length_c 11.479
_cell_angle_alpha 93.15
_cell_angle_beta 91.58
_cell_angle_gamma 90.00
_symmetry_space_group_name_H-M 'P 1'
_symmetry_Int_Tables_number 1
_symmetry_space_group_name_Hall 'P 1'
loop_
_atom_site_label
_atom_site_type_symbol
_atom_site_fract_x
_atom_site_fract_y
_atom_site_fract_z
N1 N 0.226 0.101 0.849
Rh1 Rh 0.603 0.102 0.234
S1 S 0.096 0.590 0.169
S2 S 0.622 0.140 0.435
Rh2 Rh 0.116 0.628 0.370
N2 N 0.211 0.117 0.752
```

(7)
Density functional theory data (PBE-GGA) for a relaxed structure of Ta2BiSbCl.

Raw formation energy (eV/atom): 1.40
Volume (Å³/cell): 142.2
Space-group type: P4/mmm
Final energy (eV per formula unit): -26.55

The structure in CIF format:
```
data_Ta2BiSbCl
_chemical_formula_sum 'Ta2 Bi1 Sb1 Cl1'
_cell_length_a 5.304
_cell_length_b 5.053
_cell_length_c 5.304
_cell_angle_alpha 90.00
_cell_angle_beta 90.00
_cell_angle_gamma 90.00
_symmetry_space_group_name_H-M 'P 1'
_symmetry_Int_Tables_number 1
_symmetry_space_group_name_Hall 'P 1'
loop_
_atom_site_label
_atom_site_type_symbol
_atom_site_fract_x
_atom_site_fract_y
_atom_site_fract_z
Sb1 Sb 0.000 0.000 0.000
Ta1 Ta 0.500 0.000 0.000
Cl1 Cl 0.000 0.500 0.000
Bi1 Bi 0.500 0.500 0.500
Ta2 Ta 0.000 0.000 0.500
```

(8)
Density functional theory data (PBE-GGA) for a relaxed structure of Na2CN3.

Raw formation energy (eV/atom): 0.38
Volume (Å³/cell): 166.3
Space-group type: P6_3/mmc
Final energy (eV per formula unit): -34.57

The structure in CIF format:
```
data_Na2CN3
_chemical_formula_sum 'Na4 C2 N6'
_cell_length_a 5.641
_cell_length_b 5.641
_cell_length_c 6.035
_cell_angle_alpha 90.00
_cell_angle_beta 90.00
_cell_angle_gamma 120.00
_symmetry_space_group_name_H-M 'P 1'
_symmetry_Int_Tables_number 1
_symmetry_space_group_name_Hall 'P 1'
loop_
_atom_site_label
_atom_site_type_symbol
_atom_site_fract_x
_atom_site_fract_y
_atom_site_fract_z
Na1 Na 0.000 0.000 0.000
N1 N 0.803 0.197 0.750
C1 C 0.333 0.667 0.250
N2 N 0.395 0.197 0.750
Na2 Na 0.000 0.000 0.500
N3 N 0.197 0.803 0.250
Na3 Na 0.667 0.333 0.250
N4 N 0.605 0.803 0.250
N5 N 0.803 0.605 0.750
C2 C 0.667 0.333 0.750
N6 N 0.197 0.395 0.250
Na4 Na 0.333 0.667 0.750
```